No. 1
A geometry-optimized LaGdFe2Ge2 structure, computed with PBE.

SG: P4mm, No. 99
Size of the total moment, Bohr magnetons per cell: 0.0
Volume, Å³/cell: 118.0
VASP energy, eV for the cell shown: -38.46

abc: 4.154 4.154 6.837
angles: 90.00 90.00 90.00
Fractional positions:
Fe (0.000, 0.500, 0.005)
Fe (0.500, 0.000, 0.005)
La (0.500, 0.500, 0.681)
Ge (0.000, 0.000, 0.825)
Ge (0.500, 0.500, 0.185)
Gd (0.000, 0.000, 0.298)


No. 2
A geometry-optimized CsCuPb structure, computed with PBE.

SG: F-43m, No. 216
Distance to the lowest polymorph of the same formula, eV/f.u.: 0.00
Volume, Å³/cell: 107.4
VASP energy, eV for the cell shown: -6.56

abc: 5.336 5.336 5.336
angles: 60.00 60.00 60.00
Fractional positions:
Pb (0.750, 0.750, 0.750)
Cu (0.000, 0.000, 0.000)
Cs (0.250, 0.250, 0.250)


No. 3
A geometry-optimized Li2Ta2GaSiOs2 structure, computed with PBE.

SG: P-4m2, No. 115
Size of the total moment, Bohr magnetons per cell: 0.0
Volume, Å³/cell: 114.3
VASP energy, eV for the cell shown: -61.38

abc: 4.323 4.323 6.113
angles: 90.00 90.00 90.00
Fractional positions:
Li (0.000, 0.500, 0.750)
Li (0.500, 0.000, 0.250)
Os (0.500, 0.000, 0.742)
Os (0.000, 0.500, 0.258)
Ga (0.000, 0.000, 0.000)
Si (0.500, 0.500, 0.500)
Ta (0.500, 0.500, 0.000)
Ta (0.000, 0.000, 0.500)


No. 4
A geometry-optimized PAu2 structure, computed with PBE.

SG: Fd-3m, No. 227
Volume, Å³/cell: 116.6
VASP energy, eV for the cell shown: -20.02

abc: 5.484 5.484 5.484
angles: 60.00 60.00 60.00
Fractional positions:
P (0.250, 0.250, 0.250)
P (0.000, 0.000, 0.000)
Au (0.625, 0.625, 0.125)
Au (0.625, 0.125, 0.625)
Au (0.625, 0.625, 0.625)
Au (0.125, 0.625, 0.625)


No. 5
A geometry-optimized Cu5Ag4 structure, computed with PBE.

SG: C2/m, No. 12
Distance to the lowest polymorph of the same formula, eV/f.u.: 0.51
Volume, Å³/cell: 130.6
VASP energy, eV for the cell shown: -29.01
ΔH_f (0 K), eV per atom: 0.10

abc: 4.745 4.745 8.216
angles: 106.68 106.68 48.06
Fractional positions:
Cu (0.828, 0.828, 0.605)
Cu (0.172, 0.172, 0.395)
Cu (0.500, 0.500, 0.500)
Cu (0.509, 0.509, 0.182)
Cu (0.491, 0.491, 0.818)
Ag (0.835, 0.835, 0.939)
Ag (0.155, 0.155, 0.708)
Ag (0.845, 0.845, 0.292)
Ag (0.165, 0.165, 0.061)


No. 6
A geometry-optimized DyHSO5 structure, computed with PBE.

SG: P2_1/c, No. 14
Size of the total moment, Bohr magnetons per cell: 0.0
Volume, Å³/cell: 690.6
VASP energy, eV for the cell shown: -429.65

abc: 7.919 10.827 10.920
angles: 90.00 132.47 90.00
Fractional positions:
O (0.125, 0.326, 0.495)
O (0.679, 0.236, 0.797)
O (0.226, 0.874, 0.347)
O (0.679, 0.264, 0.297)
O (0.226, 0.626, 0.847)
O (0.098, 0.197, 0.658)
O (0.875, 0.674, 0.505)
O (0.401, 0.105, 0.566)
O (0.031, 0.549, 0.131)
O (0.599, 0.895, 0.434)
O (0.514, 0.203, 0.023)
O (0.125, 0.174, 0.995)
O (0.486, 0.797, 0.977)
O (0.902, 0.697, 0.842)
O (0.875, 0.826, 0.005)
O (0.948, 0.404, 0.595)
O (0.401, 0.395, 0.066)
O (0.486, 0.485, 0.355)
O (0.969, 0.451, 0.869)
O (0.514, 0.297, 0.523)
O (0.902, 0.803, 0.342)
O (0.514, 0.985, 0.145)
O (0.052, 0.596, 0.405)
O (0.031, 0.951, 0.631)
O (0.356, 0.124, 0.284)
O (0.356, 0.376, 0.784)
O (0.514, 0.515, 0.645)
O (0.599, 0.605, 0.934)
O (0.644, 0.876, 0.716)
O (0.774, 0.374, 0.153)
O (0.948, 0.096, 0.095)
O (0.052, 0.904, 0.905)
O (0.774, 0.126, 0.653)
O (0.486, 0.015, 0.855)
O (0.098, 0.303, 0.158)
O (0.969, 0.049, 0.369)
O (0.486, 0.703, 0.477)
O (0.321, 0.736, 0.703)
O (0.321, 0.764, 0.203)
O (0.644, 0.624, 0.216)
H (0.445, 0.909, 0.143)
H (0.555, 0.091, 0.857)
H (0.050, 0.376, 0.883)
H (0.950, 0.624, 0.117)
H (0.555, 0.409, 0.357)
H (0.445, 0.591, 0.643)
H (0.050, 0.124, 0.383)
H (0.950, 0.876, 0.617)
Dy (0.276, 0.925, 0.588)
Dy (0.213, 0.060, 0.873)
Dy (0.724, 0.425, 0.912)
Dy (0.213, 0.440, 0.373)
Dy (0.787, 0.940, 0.127)
Dy (0.787, 0.560, 0.627)
Dy (0.276, 0.575, 0.088)
Dy (0.724, 0.075, 0.412)
S (0.866, 0.672, 0.366)
S (0.408, 0.691, 0.865)
S (0.134, 0.328, 0.634)
S (0.134, 0.172, 0.134)
S (0.866, 0.828, 0.866)
S (0.592, 0.191, 0.635)
S (0.408, 0.809, 0.365)
S (0.592, 0.309, 0.135)


No. 7
A geometry-optimized SrNdAgS3 structure, computed with PBE.

SG: C2/m, No. 12
Size of the total moment, Bohr magnetons per cell: 0.0
Volume, Å³/cell: 294.8
VASP energy, eV for the cell shown: -62.37

abc: 9.102 9.102 8.426
angles: 103.26 103.26 25.75
Fractional positions:
S (0.320, 0.320, 0.167)
S (0.680, 0.680, 0.833)
S (0.000, 0.000, 0.500)
S (0.329, 0.329, 0.643)
S (0.671, 0.671, 0.357)
S (0.500, 0.500, 0.000)
Nd (0.835, 0.835, 0.407)
Nd (0.165, 0.165, 0.593)
Ag (0.476, 0.476, 0.288)
Ag (0.524, 0.524, 0.712)
Sr (0.131, 0.131, 0.073)
Sr (0.869, 0.869, 0.927)


No. 8
A geometry-optimized Cs2Ni3Bi2 structure, computed with PBE.

SG: R3m, No. 160
Size of the total moment, Bohr magnetons per cell: 0.7
Volume, Å³/cell: 218.8
VASP energy, eV for the cell shown: -25.88

abc: 12.794 12.794 12.794
angles: 20.22 20.22 20.22
Fractional positions:
Bi (0.005, 0.005, 0.005)
Bi (0.506, 0.506, 0.506)
Cs (0.250, 0.250, 0.250)
Cs (0.757, 0.757, 0.757)
Ni (0.344, 0.344, 0.344)
Ni (0.846, 0.846, 0.846)
Ni (0.666, 0.666, 0.666)


No. 9
A geometry-optimized YTmH2O4 structure, computed with PBE.

SG: Pm, No. 6
Size of the total moment, Bohr magnetons per cell: 0.0
Volume, Å³/cell: 84.9
VASP energy, eV for the cell shown: -58.78

abc: 4.275 3.573 5.891
angles: 90.00 109.46 90.00
Fractional positions:
Tm (0.165, 0.000, 0.808)
O (0.254, 0.500, 0.567)
O (0.749, 0.000, 0.439)
O (0.265, 0.500, 0.048)
O (0.729, 0.000, 0.938)
Y (0.834, 0.500, 0.188)
H (0.513, 0.000, 0.418)
H (0.491, 0.500, 0.595)


No. 10
A geometry-optimized Na4Ag2BiSb structure, computed with PBE.

SG: P-4m2, No. 115
Distance to the lowest polymorph of the same formula, eV/f.u.: 0.47
Volume, Å³/cell: 181.6
VASP energy, eV for the cell shown: -21.26

abc: 5.042 5.042 7.144
angles: 90.00 90.00 90.00
Fractional positions:
Ag (0.500, 0.000, 0.739)
Ag (0.000, 0.500, 0.261)
Sb (0.500, 0.500, 0.500)
Na (0.000, 0.500, 0.746)
Na (0.000, 0.000, 0.500)
Na (0.500, 0.500, 0.000)
Na (0.500, 0.000, 0.254)
Bi (0.000, 0.000, 0.000)


No. 11
A geometry-optimized Pr2Sm2C2BrCl4 structure, computed with PBE.

SG: C2/m, No. 12
Size of the total moment, Bohr magnetons per cell: 0.0
Volume, Å³/cell: 293.6
VASP energy, eV for the cell shown: -63.56

abc: 9.623 9.623 8.223
angles: 104.52 104.52 23.50
Fractional positions:
Pr (0.000, 0.000, 0.703)
Pr (0.000, 0.000, 0.297)
Cl (0.163, 0.163, 0.846)
Cl (0.829, 0.829, 0.640)
Cl (0.171, 0.171, 0.360)
Cl (0.837, 0.837, 0.154)
C (0.461, 0.461, 0.475)
C (0.539, 0.539, 0.525)
Br (0.500, 0.500, 0.000)
Sm (0.660, 0.660, 0.605)
Sm (0.340, 0.340, 0.395)


No. 12
A geometry-optimized Hf2Sc4In3N3 structure, computed with PBE.

SG: C2/c, No. 15
Size of the total moment, Bohr magnetons per cell: 0.0
Volume, Å³/cell: 410.3
VASP energy, eV for the cell shown: -184.68

abc: 5.669 5.669 15.097
angles: 100.87 100.87 60.04
Fractional positions:
In (0.911, 0.089, 0.250)
In (0.583, 0.745, 0.249)
In (0.255, 0.417, 0.251)
In (0.745, 0.583, 0.749)
In (0.089, 0.911, 0.750)
In (0.417, 0.255, 0.751)
N (0.337, 0.826, 0.500)
N (0.000, 0.500, 0.500)
N (0.174, 0.663, 0.000)
N (0.663, 0.174, 0.500)
N (0.500, 0.000, 0.000)
N (0.826, 0.337, 0.000)
Sc (0.135, 0.307, 0.918)
Sc (0.190, 0.031, 0.082)
Sc (0.307, 0.135, 0.418)
Sc (0.031, 0.190, 0.582)
Sc (0.969, 0.810, 0.418)
Sc (0.693, 0.865, 0.582)
Sc (0.810, 0.969, 0.918)
Sc (0.865, 0.693, 0.082)
Hf (0.644, 0.474, 0.421)
Hf (0.526, 0.356, 0.079)
Hf (0.356, 0.526, 0.579)
Hf (0.474, 0.644, 0.921)